Compound: Nd3Sm3GaHg2
Source: Alexandria
Functional: GGA-PBE
Structure: relaxed

For the density of states at the Fermi level, the calculation gives 10.7 states/eV per cell. As for the formation energy: -0.31 eV per atom.

The structure in CIF format:
```
data_Nd3Sm3GaHg2
_cell_length_a 8.9479
_cell_length_b 8.9479
_cell_length_c 3.8115
_cell_angle_alpha 90.00
_cell_angle_beta 90.00
_cell_angle_gamma 120.00
_symmetry_space_group_name_H-M 'P -6 2 m'
_symmetry_Int_Tables_number 189
_symmetry_space_group_name_Hall 'P -6 -2'
loop_
_atom_site_label
_atom_site_fract_x
_atom_site_fract_y
_atom_site_fract_z
Nd1 0.0000 0.7336 0.0000
Sm1 0.0000 0.3951 0.5000
Ga1 0.0000 0.0000 0.5000
Hg1 0.3333 0.6667 0.0000
```